Entry from Alexandria: a relaxed Hf2PaAg crystal (PBE-GGA).

Lattice parameters (Å, degrees): 4.0751 4.6299 4.6299 90.00 90.00 90.00
Closest atoms and distances in Å follow each position.
Fractional coordinates of all 4 atoms:
Pa 0.5000 0.5000 0.5000  8 Hf 3.08, 4 Ag 3.27
Hf 0.0000 0.0000 0.5000  4 Pa 3.08, 4 Ag 3.08, 4 Hf 3.27
Hf 0.0000 0.5000 0.0000  4 Pa 3.08, 4 Ag 3.08, 4 Hf 3.27
Ag 0.5000 0.0000 0.0000  8 Hf 3.08, 4 Pa 3.27

Computed properties:
density: 13.23 g/cm³
calculated formation energy: 0.1839 eV/atom
calculated volume: 21.838 A^3/atom
spin magnetization: 0.000 μB/f.u.
energy above the most stable polymorph in this dataset: 145 meV per atom

=====

Entry from Alexandria: a relaxed Be2AlRh crystal (PBE-GGA).

Lattice parameters (Å, degrees): 2.9662 2.9662 5.1483 90.00 90.00 90.00
Closest atoms and distances in Å follow each position.
Fractional coordinates of all 4 atoms:
Be 0.0000 0.0000 0.0249  1 Be 2.32, 4 Rh 2.40, 4 Al 2.53
Be 0.0000 0.0000 0.4751  1 Be 2.32, 4 Rh 2.40, 4 Al 2.53
Rh 0.5000 0.5000 0.2500  8 Be 2.40, 2 Al 2.57
Al 0.5000 0.5000 0.7500  8 Be 2.53, 2 Rh 2.57

Computed properties:
density: 5.42 g/cm³
calculated formation energy: -0.4225 eV/atom
calculated volume: 11.324 A^3/atom
spin magnetization: 0.000 μB/f.u.

=====

Entry from Alexandria: a relaxed K2BaTa crystal (PBE-GGA).

Lattice parameters (Å, degrees): 6.2913 6.2913 6.2913 60.00 60.00 60.00
Closest atoms and distances in Å follow each position.
Fractional coordinates of all 4 atoms:
K 0.2500 0.2500 0.2500  4 Ba 3.85, 4 Ta 3.85
K 0.7500 0.7500 0.7500  4 Ba 3.85, 4 Ta 3.85
Ba 0.0000 0.0000 0.0000  8 K 3.85
Ta 0.5000 0.5000 0.5000  8 K 3.85

Computed properties:
density: 3.74 g/cm³
calculated formation energy: 1.3837 eV/atom
calculated volume: 44.019 A^3/atom
spin magnetization: 4.768 μB/f.u.
energy above the most stable polymorph in this dataset: 400 meV per atom

=====

Entry from Alexandria: a relaxed NaPaCrS4 crystal (PBE-GGA).

Lattice parameters (Å, degrees): 7.5511 7.5853 8.4371 123.79 90.00 119.85
Closest atoms and distances in Å follow each position.
Fractional coordinates of all 14 atoms:
Na 0.8290 0.6579 0.0790  4 S 2.69-2.70
Na 0.1710 0.3421 0.9210  4 S 2.69-2.70
Pa 0.5000 0.0000 0.5000  6 S 2.65-2.70
Pa 0.5000 0.0000 0.0000  6 S 2.65-2.70
Cr 0.5000 0.5000 0.5000  6 S 2.49-2.55
Cr 0.0000 0.5000 0.5000  6 S 2.49-2.55
S 0.7581 0.5161 0.7001  2 Cr 2.49, 1 Pa 2.65, 1 Na 2.70
S 0.2741 0.9955 0.2478  1 Cr 2.55, 1 Na 2.69, 2 Pa 2.70
S 0.7214 0.9955 0.2478  1 Cr 2.55, 1 Na 2.69, 2 Pa 2.70
S 0.7581 0.5161 0.3160  2 Cr 2.49, 1 Pa 2.65, 1 Na 2.70
S 0.2419 0.4839 0.6840  2 Cr 2.49, 1 Pa 2.65, 1 Na 2.70
S 0.7259 0.0045 0.7522  1 Cr 2.55, 1 Na 2.69, 2 Pa 2.70
S 0.2786 0.0045 0.7522  1 Cr 2.55, 1 Na 2.69, 2 Pa 2.70
S 0.2419 0.4839 0.2999  2 Cr 2.49, 1 Pa 2.65, 1 Na 2.70

Computed properties:
total energy: -6.477 eV per atom
density: 4.48 g/cm³
calculated volume: 22.974 A^3/atom
spin magnetization: 4.047 μB/f.u.

=====

Entry from Alexandria: a relaxed LaPm3O4 crystal (PBE-GGA).

Lattice parameters (Å, degrees): 6.1807 6.1965 7.0720 90.00 90.00 109.25
Closest atoms and distances in Å follow each position.
Fractional coordinates of all 16 atoms:
Pm 0.7500 0.0000 0.3749  6 O 2.53-2.54
Pm 0.2500 0.0000 0.6251  6 O 2.53-2.54
Pm 0.7500 0.5000 0.6251  6 O 2.46-2.51
Pm 0.7500 0.5000 0.1247  6 O 2.47-2.51
Pm 0.2500 0.5000 0.3749  6 O 2.46-2.51
Pm 0.2500 0.5000 0.8753  6 O 2.47-2.51
O 0.0051 0.2585 0.6203  5 Pm 2.46-2.54, 1 La 2.58
O 0.5018 0.2617 0.8701  4 Pm 2.46-2.53, 2 La 2.57
O 0.5051 0.2585 0.3797  5 Pm 2.46-2.54, 1 La 2.58
O 0.0018 0.2617 0.1299  4 Pm 2.46-2.53, 2 La 2.57
O 0.9982 0.7383 0.8701  4 Pm 2.46-2.53, 2 La 2.57
O 0.4949 0.7415 0.6203  5 Pm 2.46-2.54, 1 La 2.58
O 0.4982 0.7383 0.1299  4 Pm 2.46-2.53, 2 La 2.57
O 0.9949 0.7415 0.3797  5 Pm 2.46-2.54, 1 La 2.58
La 0.7500 0.0000 0.8753  6 O 2.57-2.58
La 0.2500 0.0000 0.1247  6 O 2.57-2.58

Computed properties:
total energy: -7.663 eV per atom
density: 8.28 g/cm³
calculated volume: 15.982 A^3/atom
spin magnetization: 0.000 μB/f.u.

=====

Entry from Alexandria: a relaxed AcGe2Ir crystal (PBE-GGA).

Lattice parameters (Å, degrees): 4.4808 4.4975 9.1253 104.27 90.00 90.00
Closest atoms and distances in Å follow each position.
Fractional coordinates of all 8 atoms:
Ac 0.2500 0.8904 0.7808  10 Ge 3.35-3.49, 5 Ir 3.41-3.71
Ac 0.7500 0.1096 0.2192  10 Ge 3.35-3.49, 5 Ir 3.41-3.71
Ge 0.2500 0.2502 0.5005  4 Ir 2.55-2.57
Ge 0.7500 0.7498 0.4995  4 Ir 2.55-2.57
Ge 0.7500 0.4587 0.9174  1 Ir 2.46, 2 Ge 2.67
Ge 0.2500 0.5413 0.0826  1 Ir 2.46, 2 Ge 2.67
Ir 0.7500 0.3196 0.6392  5 Ge 2.46-2.57
Ir 0.2500 0.6804 0.3608  5 Ge 2.46-2.57

Computed properties:
density: 10.52 g/cm³
calculated formation energy: -0.7685 eV/atom
calculated volume: 22.278 A^3/atom
spin magnetization: 0.000 μB/f.u.
energy above the most stable polymorph in this dataset: 0 meV per atom